No. 1
VASP calculation (GGA-PBE) on CsK2RbPd after structural relaxation.

Cell lengths 6.6336, 6.6336, 6.8448 Å; angles 90.00, 90.00, 90.00 degrees
Atoms (fractional coordinates):
K 0.0000 0.5000 0.0000
K 0.5000 0.0000 0.0000
Pd 0.0000 0.0000 0.0000
Rb 0.0000 0.0000 0.5000
Cs 0.5000 0.5000 0.5000

**Density of states at the Fermi level**: 2.9 states/eV/cell
**Energy of formation**: 0.085 eV per atom
**Polymorph energy (0 for the lowest one)**: 8 meV per atom

No. 2
VASP calculation (GGA-PBE) on DyHo2Pa after structural relaxation.

Cell lengths 3.3217, 3.3217, 12.3250 Å; angles 82.26, 82.26, 60.00 degrees
Atoms (fractional coordinates):
Ho 0.0876 0.0876 0.7373
Ho 0.9124 0.9124 0.2627
Pa 0.0000 0.0000 0.0000
Dy 0.5000 0.5000 0.5000

**Density of states at the Fermi level**: 5.5 states/eV/cell
**Energy of formation**: 0.276 eV per atom
**Polymorph energy (0 for the lowest one)**: 168 meV per atom

No. 3
VASP calculation (GGA-PBE) on LiZn2Ge after structural relaxation.

Cell lengths 3.9017, 3.9017, 9.4267 Å; angles 78.06, 78.06, 90.00 degrees
Atoms (fractional coordinates):
Ge 0.7500 0.2500 0.5000
Ge 0.0000 0.0000 0.0000
Zn 0.3750 0.3829 0.7500
Zn 0.1329 0.6250 0.2500
Zn 0.6171 0.1250 0.2500
Zn 0.8750 0.8671 0.7500
Li 0.2500 0.7500 0.5000
Li 0.5000 0.5000 0.0000

**Density of states at the Fermi level**: 3.2 states/eV/cell
**Energy of formation**: 0.063 eV per atom

No. 4
VASP calculation (GGA-PBE) on CuAs3H after structural relaxation.

Cell lengths 4.7214, 4.7214, 4.7214 Å; angles 90.00, 90.00, 90.00 degrees
Last column: magnetic moment on the atom in μB.
Atoms (fractional coordinates):
As 0.0000 0.0000 0.5000  -0.05
As 0.5000 0.0000 0.0000  0.03
As 0.0000 0.5000 0.0000  -0.01
H 0.5000 0.5000 0.5000  0.26
Cu 0.0000 0.0000 0.0000  0.00

**Density of states at the Fermi level**: 3.8 states/eV/cell
**Polymorph energy (0 for the lowest one)**: 435 meV per atom

No. 5
VASP calculation (GGA-PBE) on MnCu2Cl after structural relaxation.

Cell lengths 2.9899, 2.9899, 6.7060 Å; angles 90.00, 90.00, 89.70 degrees
Last column: magnetic moment on the atom in μB.
Atoms (fractional coordinates):
Cu 0.0000 0.0000 0.0162  0.10
Cu 0.0000 0.0000 0.4838  0.10
Mn 0.5000 0.5000 0.2500  3.65
Cl 0.5000 0.5000 0.7500  0.00

**Density of states at the Fermi level**: 0.8 states/eV/cell
**Raw formation energy**: 0.194 eV per atom
**Polymorph energy (0 for the lowest one)**: 182 meV per atom

No. 6
VASP calculation (GGA-PBE) on PaGe6 after structural relaxation.

Cell lengths 6.0829, 6.0829, 6.0829 Å; angles 109.47, 109.47, 109.47 degrees
Last column: magnetic moment on the atom in μB.
Atoms (fractional coordinates):
Ge 0.2500 0.7500 0.5000  0.01
Ge 0.7500 0.2500 0.5000  0.01
Ge 0.2500 0.5000 0.7500  0.01
Ge 0.5000 0.7500 0.2500  0.01
Ge 0.7500 0.5000 0.2500  0.01
Ge 0.5000 0.2500 0.7500  0.01
Pa 0.0000 0.0000 0.0000  1.97

**Density of states at the Fermi level**: 11.9 states/eV/cell
**Energy of formation**: 0.533 eV per atom

No. 7
VASP calculation (GGA-PBE) on Sr2Cu3Rh after structural relaxation.

Cell lengths 4.5603, 5.4840, 6.5288 Å; angles 114.83, 110.44, 90.00 degrees
Atoms (fractional coordinates):
Sr 0.6931 0.1931 0.3861
Sr 0.3069 0.8069 0.6139
Cu 0.0000 0.0000 0.0000
Cu 0.6056 0.6056 0.2112
Cu 0.3944 0.3944 0.7888
Rh 0.0000 0.5000 0.0000

**Density of states at the Fermi level**: 2.4 states/eV/cell
**Energy of formation**: 0.122 eV per atom
**Polymorph energy (0 for the lowest one)**: 236 meV per atom

No. 8
VASP calculation (GGA-PBE) on Np2Pd9Rh after structural relaxation.

Cell lengths 4.0980, 4.0980, 12.0296 Å; angles 90.00, 90.00, 90.00 degrees
Last column: magnetic moment on the atom in μB.
Atoms (fractional coordinates):
Pd 0.5000 0.0000 0.1594  -0.09
Pd 0.5000 0.0000 0.5000  -0.06
Pd 0.5000 0.5000 0.0000  -0.11
Pd 0.5000 0.0000 0.8406  -0.09
Pd 0.5000 0.5000 0.3302  -0.04
Pd 0.0000 0.5000 0.8406  -0.09
Pd 0.0000 0.5000 0.1594  -0.09
Pd 0.0000 0.5000 0.5000  -0.06
Pd 0.5000 0.5000 0.6698  -0.04
Np 0.0000 0.0000 0.3226  3.33
Np 0.0000 0.0000 0.6774  3.33
Rh 0.0000 0.0000 0.0000  -0.35

**Density of states at the Fermi level**: 30.6 states/eV/cell
**Energy of formation**: -0.256 eV per atom

No. 9
VASP calculation (GGA-PBE) on YTlSb2 after structural relaxation.

Cell lengths 5.0312, 5.0312, 4.3622 Å; angles 90.00, 90.00, 90.00 degrees
Atoms (fractional coordinates):
Sb 0.0000 0.0000 0.0000
Sb 0.5000 0.5000 0.0000
Tl 0.5000 0.0000 0.5000
Y 0.0000 0.5000 0.5000

**Density of states at the Fermi level**: 1.7 states/eV/cell
**Raw formation energy**: -0.401 eV per atom
**Polymorph energy (0 for the lowest one)**: 93 meV per atom

No. 10
VASP calculation (GGA-PBE) on BaNaCa2Ag after structural relaxation.

Cell lengths 5.9338, 5.9338, 6.4283 Å; angles 90.00, 90.00, 90.00 degrees
Atoms (fractional coordinates):
Ag 0.0000 0.0000 0.0000
Ba 0.0000 0.0000 0.5000
Ca 0.5000 0.0000 0.0000
Ca 0.0000 0.5000 0.0000
Na 0.5000 0.5000 0.5000

**Density of states at the Fermi level**: 2.8 states/eV/cell
**Energy of formation**: -0.048 eV per atom
**Polymorph energy (0 for the lowest one)**: 0 meV per atom

No. 11
VASP calculation (GGA-PBE) on NaAcDy after structural relaxation.

Cell lengths 3.7350, 3.7350, 8.6365 Å; angles 102.49, 102.49, 90.00 degrees
Atoms (fractional coordinates):
Dy 0.6689 0.6689 0.3379
Ac 0.3248 0.3248 0.6495
Na 0.0063 0.0063 0.0126

**Density of states at the Fermi level**: 4.0 states/eV/cell
**Energy of formation**: 0.173 eV per atom
**Polymorph energy (0 for the lowest one)**: 79 meV per atom

No. 12
VASP calculation (GGA-PBE) on La2Sn3Au6 after structural relaxation.

Cell lengths 4.0884, 8.3891, 8.3891 Å; angles 69.32, 90.00, 90.00 degrees
Atoms (fractional coordinates):
La 0.0000 0.2878 0.7122
La 0.0000 0.7122 0.2878
Sn 0.0000 0.7549 0.7549
Sn 0.0000 0.2451 0.2451
Sn 0.5000 0.0000 0.0000
Au 0.5000 0.6464 0.0349
Au 0.5000 0.3931 0.3931
Au 0.5000 0.9651 0.3536
Au 0.5000 0.3536 0.9651
Au 0.5000 0.6069 0.6069
Au 0.5000 0.0349 0.6464

**Density of states at the Fermi level**: 4.6 states/eV/cell
**Energy of formation**: -0.486 eV per atom

Number 1: mass density 2.22 Mg/m³. Number 2: mass density 10.33 Mg/m³. Number 3: mass density 5.09 Mg/m³. Number 4: mass density 4.56 Mg/m³. Number 5: mass density 6.02 Mg/m³. Number 6: mass density 6.39 Mg/m³. Number 7: mass density 5.69 Mg/m³. Number 8: mass density 12.61 Mg/m³. Number 9: mass density 8.07 Mg/m³. Number 10: mass density 2.56 Mg/m³. Number 11: mass density 5.97 Mg/m³. Number 12: mass density 11.20 Mg/m³.